Record 1
VASP calculation (PBE-GGA) on a relaxed structure of Sb2TeHPb.

Calculated values
The offset from the most stable computed form comes out at 0.891 eV per atom. As for the space group: No. 123.

Lattice parameters (Å, degrees): 5.9644 5.9644 6.0430 90.00 90.00 90.00
Closest atoms and distances in Å follow each position.
Positions (direct):
Sb1 0.5000 0.0000 0.0000  2 Pb 2.98
Sb2 0.0000 0.5000 0.0000  2 Pb 2.98
Te1 0.0000 0.0000 0.5000  2 Pb 3.02
Pb1 0.0000 0.0000 0.0000  4 Sb 2.98, 2 Te 3.02
H1 0.5000 0.5000 0.5000  4 Te 4.22, 8 Sb 4.25

Record 2
VASP calculation (PBE-GGA) on a relaxed structure of Ca2La4Nd.

Calculated values
The offset from the most stable computed form comes out at 0.000 eV per atom. As for the space group: No. 65.

Lattice parameters (Å, degrees): 3.6389 5.6197 13.2519 102.24 90.00 90.00
Closest atoms and distances in Å follow each position.
Positions (direct):
Ca1 0.5000 0.2112 0.4223  4 Ca 3.46-3.64, 5 La 3.65-3.86
Ca2 0.5000 0.7888 0.5777  4 Ca 3.46-3.64, 5 La 3.65-3.86
Nd1 0.0000 0.5000 0.0000  10 La 3.56-3.81, 2 Nd 3.64
La1 0.0000 0.6373 0.2746  1 Nd 3.56, 6 La 3.64-3.77, 4 Ca 3.86
La2 0.5000 0.9297 0.8595  7 La 3.64-3.77, 1 Ca 3.65, 4 Nd 3.81
La3 0.5000 0.0703 0.1405  7 La 3.64-3.77, 1 Ca 3.65, 4 Nd 3.81
La4 0.0000 0.3627 0.7254  1 Nd 3.56, 6 La 3.64-3.77, 4 Ca 3.86

Record 3
VASP calculation (PBE-GGA) on a relaxed structure of LiSnP2.

Calculated values
The total DFT energy (no corrections) comes out at -16.80 eV per cell. As for the space group: No. 166.

Lattice parameters (Å, degrees): 3.6893 3.6893 7.0132 74.75 74.75 60.00
Closest atoms and distances in Å follow each position.
Positions (direct):
P1 0.2533 0.2533 0.2400  3 Sn 2.67, 3 Li 2.75
P2 0.7467 0.7467 0.7600  3 Sn 2.67, 3 Li 2.75
Li1 0.5000 0.5000 0.5000  6 P 2.75
Sn1 0.0000 0.0000 0.0000  6 P 2.67

Magnetization per entry: 1.82, 0.00, 0.00 Bohr magnetons per cell